1.
First-principles (GGA-PBE) data for crystalline Al3Zn5O12 at its relaxed geometry, as listed in Alexandria.

Computed properties:
Uncorrected formation energy (eV per atom): -1.4195
Calculated total energy (eV per atom): -5.27
M_tot (μB per cell): 0.04

```
Al3Zn5O12
1.0
-6.165 6.165 6.165
6.165 -6.165 6.165
6.165 6.165 -6.165
Al Zn O
12 20 48
Cartesian
3.083 1.541 0.000 Al
6.165 3.083 -1.541 Al
1.541 0.000 3.083 Al
7.707 0.000 3.083 Al
0.000 3.083 1.541 Al
3.083 -1.541 6.165 Al
3.083 7.707 0.000 Al
6.165 3.083 4.624 Al
-1.541 6.165 3.083 Al
4.624 6.165 3.083 Al
0.000 3.083 7.707 Al
3.083 4.624 6.165 Al
0.000 0.000 0.000 Zn
3.083 3.083 -3.083 Zn
3.083 -3.083 3.083 Zn
6.165 0.000 0.000 Zn
9.248 1.541 0.000 Zn
6.165 -3.083 4.624 Zn
4.624 6.165 -3.083 Zn
4.624 0.000 3.083 Zn
3.083 4.624 0.000 Zn
6.165 3.083 1.541 Zn
-3.083 3.083 3.083 Zn
0.000 6.165 0.000 Zn
0.000 0.000 6.165 Zn
3.083 3.083 3.083 Zn
0.000 3.083 4.624 Zn
3.083 1.541 6.165 Zn
1.541 6.165 3.083 Zn
1.541 0.000 9.248 Zn
0.000 9.248 1.541 Zn
-3.083 4.624 6.165 Zn
1.955 0.139 -0.054 O
7.293 3.029 -2.944 O
5.038 3.136 -2.944 O
4.210 0.139 0.054 O
3.029 2.944 -1.127 O
6.219 1.955 -0.139 O
0.139 -0.054 1.955 O
2.944 -1.127 3.029 O
6.304 0.054 1.955 O
9.109 -1.127 3.136 O
-0.054 1.955 0.139 O
3.136 -2.944 5.038 O
3.136 2.944 1.127 O
6.112 4.210 -0.139 O
6.304 -0.054 4.210 O
9.109 1.127 3.029 O
0.139 0.054 4.210 O
2.944 1.127 3.136 O
0.054 4.210 0.139 O
3.029 -2.944 7.293 O
-1.127 3.029 2.944 O
4.210 -0.139 6.112 O
1.127 3.136 2.944 O
1.955 -0.139 6.219 O
4.210 6.304 -0.054 O
5.038 3.029 3.221 O
1.955 6.304 0.054 O
7.293 3.136 3.221 O
3.136 9.109 -1.127 O
6.112 1.955 6.027 O
3.221 5.038 3.029 O
6.027 6.112 1.955 O
-2.944 5.038 3.136 O
-0.139 6.219 1.955 O
0.054 1.955 6.304 O
3.029 3.221 5.038 O
3.029 9.109 1.127 O
6.219 4.210 6.027 O
-2.944 7.293 3.029 O
-0.139 6.112 4.210 O
3.221 7.293 3.136 O
6.027 6.219 4.210 O
-0.054 4.210 6.304 O
3.136 3.221 7.293 O
1.955 6.027 6.112 O
1.127 3.029 9.109 O
-1.127 3.136 9.109 O
4.210 6.027 6.219 O
```

2.
First-principles (GGA-PBE) data for crystalline PrTeH at its relaxed geometry, as listed in Alexandria.

Computed properties:
Calculated total energy (eV per atom): -4.36
M_tot (μB per cell): 0.00

```
PrTeH
1.0
3.325 -3.318 0.000
3.325 3.318 0.000
-3.312 0.000 6.669
Pr Te H
2 2 2
Cartesian
0.002 0.000 2.138 Pr
3.337 0.000 4.532 Pr
1.663 1.659 0.000 Te
1.663 -1.659 0.000 Te
1.670 1.659 3.335 H
1.670 -1.659 3.335 H
```